Below is a relaxed Al3Hg2 crystal, with properties calculated at the PBE-GGA level.

abc: 7.122 5.971 7.839
angles: 60.30 46.75 72.95
Positions (direct):
1 Al 0.000 0.000 0.000
2 Al 0.250 0.250 0.250
3 Al 0.495 0.809 0.299
4 Al 0.809 0.495 0.398
5 Al 0.852 0.951 0.441
6 Al 0.951 0.852 0.755
7 Hg 0.016 0.447 0.627
8 Hg 0.340 0.623 0.803
9 Hg 0.447 0.016 0.910
10 Hg 0.623 0.340 0.234

Its crystal system is orthorhombic. The density of states at the Fermi level is 0.3481 states/eV/atom. The formation energy is 70 kJ/mol of formula units. For the calculated volume, the calculation gives 210 Å³ per cell. The calculation puts the total magnetization at 0.00 μB/f.u.